Here is LiSmLuRu after structural relaxation from Alexandria. Energies are from PBE.

Computed properties:
The density of states at the Fermi level is 2.5 states/eV/f.u. Its formation energy is -1.06 eV per formula unit. The value obtained for the final energy is -5.37 eV/atom.

Unit cell a=6.944 b=6.944 c=6.944 alpha=90.00 beta=90.00 gamma=90.00
Space group F-43m (No. 216)
One atom of each set of equivalent atoms:
Li  0.000  0.000  0.000 x4
Sm  0.250  0.250  0.750 x4
Lu  0.250  0.250  0.250 x4
Ru  0.000  0.000  0.500 x4